A plane-wave DFT calculation with PBE-GGA was carried out for crystalline CaPb5 at its relaxed geometry.

## Properties
DFT total energy in eV for the cell shown: -21.24
E above lowest polymorph in meV/atom: 59
Energy of formation in eV/f.u.: -0.70

POSCAR file:
```
CaPb5
1.0
3.613 0.000 0.000
0.000 3.613 0.000
0.000 0.000 14.382
Ca Pb
1 5
Direct
0.000 0.000 0.000
0.000 0.000 0.328
0.000 0.000 0.672
0.500 0.500 0.163
0.500 0.500 0.500
0.500 0.500 0.837
```


A plane-wave DFT calculation with PBE-GGA was carried out for crystalline CaPb at its relaxed geometry.

## Properties
DFT total energy in eV for the cell shown: -37.29
Energy of formation in eV/f.u.: -0.51

POSCAR file:
```
CaPb
1.0
10.449 0.000 0.000
-5.224 9.049 0.000
0.000 0.000 4.752
Ca Pb
6 6
Direct
0.177 0.368 0.250
0.190 0.823 0.250
0.368 0.190 0.750
0.632 0.810 0.250
0.810 0.177 0.750
0.823 0.632 0.750
0.117 0.574 0.750
0.426 0.543 0.750
0.457 0.883 0.750
0.543 0.117 0.250
0.574 0.457 0.250
0.883 0.426 0.250
```


A plane-wave DFT calculation with PBE-GGA was carried out for crystalline CaPd3Pb2 at its relaxed geometry.

## Properties
DFT total energy in eV for the cell shown: -54.33
E above lowest polymorph in meV/atom: 39
Energy of formation in eV/f.u.: -2.17

POSCAR file:
```
CaPd3Pb2
1.0
-4.408 5.177 2.983
4.408 -5.177 2.983
4.408 5.177 -2.983
Ca Pd Pb
2 6 4
Direct
0.496 0.246 0.250
0.504 0.754 0.750
0.000 0.000 0.500
0.000 0.248 0.248
0.000 0.500 0.000
0.000 0.752 0.752
0.500 0.248 0.748
0.500 0.752 0.252
0.164 0.747 0.416
0.169 0.253 0.916
0.831 0.747 0.084
0.836 0.253 0.584
```


A plane-wave DFT calculation with PBE-GGA was carried out for crystalline CaPdPb2 at its relaxed geometry.

## Properties
DFT total energy in eV for the cell shown: -14.88
Energy of formation in eV/f.u.: -0.26

POSCAR file:
```
CaPdPb2
1.0
1.857 1.072 10.156
-1.857 1.072 10.156
0.000 -2.144 10.156
Ca Pd Pb
1 1 2
Direct
0.000 0.000 0.000
0.500 0.500 0.500
0.106 0.106 0.106
0.894 0.894 0.894
```


A plane-wave DFT calculation with PBE-GGA was carried out for crystalline Ca12Pd6Pb at its relaxed geometry.

## Properties
DFT total energy in eV for the cell shown: -68.69
Energy of formation in eV/f.u.: -9.81

POSCAR file:
```
Ca12Pd6Pb
1.0
-5.153 5.153 5.153
5.153 -5.153 5.153
5.153 5.153 -5.153
Ca Pd Pb
12 6 1
Direct
0.123 0.303 0.819
0.181 0.484 0.303
0.181 0.877 0.697
0.303 0.181 0.484
0.303 0.819 0.123
0.484 0.303 0.181
0.516 0.697 0.819
0.697 0.181 0.877
0.697 0.819 0.516
0.819 0.123 0.303
0.819 0.516 0.697
0.877 0.697 0.181
0.131 0.500 0.631
0.369 0.869 0.500
0.500 0.369 0.869
0.500 0.631 0.131
0.631 0.131 0.500
0.869 0.500 0.369
0.000 0.000 0.000
```


A plane-wave DFT calculation with PBE-GGA was carried out for crystalline Ca5Pd2Pb5 at its relaxed geometry.

## Properties
DFT total energy in eV for the cell shown: -45.21
Energy of formation in eV/f.u.: -6.27

POSCAR file:
```
Ca5Pd2Pb5
1.0
8.319 -2.401 0.000
8.319 2.401 0.000
-6.713 0.000 8.335
Ca Pd Pb
5 2 5
Direct
0.000 0.000 0.000
0.135 0.135 0.838
0.167 0.167 0.509
0.833 0.833 0.491
0.865 0.865 0.162
0.350 0.350 0.932
0.650 0.650 0.068
0.247 0.247 0.238
0.453 0.453 0.757
0.500 0.500 0.500
0.547 0.547 0.243
0.753 0.753 0.762
```


A plane-wave DFT calculation with PBE-GGA was carried out for crystalline Ca3Pd2Pb3 at its relaxed geometry.

## Properties
DFT total energy in eV for the cell shown: -127.88
Energy of formation in eV/f.u.: -4.45

POSCAR file:
```
Ca3Pd2Pb3
1.0
7.663 0.000 0.000
0.000 18.336 0.000
0.000 0.000 6.060
Ca Pd Pb
12 8 12
Direct
0.038 0.112 0.124
0.038 0.388 0.124
0.169 0.250 0.668
0.331 0.750 0.168
0.462 0.612 0.624
0.462 0.888 0.624
0.538 0.112 0.376
0.538 0.388 0.376
0.669 0.250 0.832
0.831 0.750 0.332
0.962 0.612 0.876
0.962 0.888 0.876
0.103 0.628 0.403
0.103 0.872 0.403
0.397 0.128 0.903
0.397 0.372 0.903
0.603 0.628 0.097
0.603 0.872 0.097
0.897 0.128 0.597
0.897 0.372 0.597
0.171 0.750 0.674
0.185 0.033 0.640
0.185 0.467 0.640
0.315 0.533 0.140
0.315 0.967 0.140
0.329 0.250 0.174
0.671 0.750 0.826
0.685 0.033 0.860
0.685 0.467 0.860
0.815 0.533 0.360
0.815 0.967 0.360
0.829 0.250 0.326
```


A plane-wave DFT calculation with PBE-GGA was carried out for crystalline CaPd2Pb at its relaxed geometry.

## Properties
DFT total energy in eV for the cell shown: -15.74
Energy of formation in eV/f.u.: 0.36

POSCAR file:
```
CaPd2Pb
1.0
-1.548 2.689 5.511
1.548 -2.689 5.511
1.548 2.689 -5.511
Ca Pd Pb
1 2 1
Direct
0.000 0.000 0.000
0.252 0.252 0.000
0.748 0.748 0.000
0.500 0.500 0.000
```


A plane-wave DFT calculation with PBE-GGA was carried out for crystalline CaPdPb3 at its relaxed geometry.

## Properties
DFT total energy in eV for the cell shown: -18.85
Energy of formation in eV/f.u.: -0.53

POSCAR file:
```
CaPdPb3
1.0
5.419 0.000 0.000
0.000 5.419 0.000
0.000 0.000 5.419
Ca Pd Pb
1 1 3
Direct
0.000 0.000 0.000
0.500 0.500 0.500
0.000 0.500 0.500
0.500 0.000 0.500
0.500 0.500 0.000
```


A plane-wave DFT calculation with PBE-GGA was carried out for crystalline Ca4PdPb2 at its relaxed geometry.

## Properties
DFT total energy in eV for the cell shown: -23.34
Energy of formation in eV/f.u.: -2.72

POSCAR file:
```
Ca4PdPb2
1.0
-2.793 2.793 7.649
2.793 -2.793 7.649
2.793 2.793 -7.649
Ca Pd Pb
4 1 2
Direct
0.000 0.500 0.500
0.183 0.183 0.000
0.500 0.000 0.500
0.817 0.817 0.000
0.000 0.000 0.000
0.386 0.386 0.000
0.614 0.614 0.000
```


A plane-wave DFT calculation with PBE-GGA was carried out for crystalline Ca3Pd3Pb at its relaxed geometry.

## Properties
DFT total energy in eV for the cell shown: -58.07
E above lowest polymorph in meV/atom: 103
Energy of formation in eV/f.u.: -3.74

POSCAR file:
```
Ca3Pd3Pb
1.0
8.687 0.000 0.000
-4.344 7.523 0.000
0.000 0.000 5.046
Ca Pd Pb
6 6 2
Direct
0.092 0.414 0.250
0.322 0.908 0.250
0.414 0.322 0.750
0.586 0.678 0.250
0.678 0.092 0.750
0.908 0.586 0.750
0.049 0.207 0.750
0.158 0.951 0.750
0.207 0.158 0.250
0.793 0.842 0.750
0.842 0.049 0.250
0.951 0.793 0.250
0.333 0.667 0.750
0.667 0.333 0.250
```


A plane-wave DFT calculation with PBE-GGA was carried out for crystalline CaPd3Pb2 at its relaxed geometry.

## Properties
DFT total energy in eV for the cell shown: -54.79
E above lowest polymorph in meV/atom: 0
Energy of formation in eV/f.u.: -2.40

POSCAR file:
```
CaPd3Pb2
1.0
5.015 0.000 0.000
0.000 6.784 0.000
-2.483 0.000 7.360
Ca Pd Pb
2 6 4
Direct
0.165 0.000 0.324
0.835 0.000 0.676
0.000 0.267 0.000
0.000 0.733 0.000
0.329 0.247 0.672
0.329 0.753 0.672
0.671 0.247 0.328
0.671 0.753 0.328
0.175 0.500 0.343
0.500 0.000 0.000
0.500 0.500 0.000
0.825 0.500 0.657
```